Model w:
3
Lattice="0.0000 3.2729 3.2729 3.2729 0.0000 3.2729 3.2729 3.2729 0.0000" Properties=species:S:1:pos:R:3 comment="PmTcPd | OQMD | PBE | relaxed" magnetic_moment_mub_per_fu=2.37 pbc="T T T"
Pm 0.0000 0.0000 0.0000
Tc 3.2729 3.2729 3.2729
Pd 1.6365 1.6365 1.6365



Model x:
3
Lattice="0.0000 3.2644 3.2644 3.2644 0.0000 3.2644 3.2644 3.2644 0.0000" Properties=species:S:1:pos:R:3 comment="PmTcPd | OQMD | PBE | relaxed" magnetic_moment_mub_per_fu=2.10 pbc="T T T"
Pm 0.0000 0.0000 0.0000
Tc 1.6322 1.6322 1.6322
Pd 4.8966 4.8966 4.8966



Least stable = model x